Arrangement one

Here is crystalline BaScSb3 at its relaxed geometry from Alexandria via LeMat-Bulk. Energies are from GGA-PBE.

Unit cell a=5.5570 b=5.5570 c=5.5570 alpha=90.00 beta=90.00 gamma=90.00
Fractional coordinates of all 5 atoms:
Sc: 0.0000 0.0000 0.0000
Sb: 0.5000 0.0000 0.0000
Ba: 0.5000 0.5000 0.5000
Sb: 0.0000 0.0000 0.5000
Sb: 0.0000 0.5000 0.0000

Computed properties:
As for the space group: No. 221.



Arrangement two

Here is crystalline BaScSb3 at its relaxed geometry from Alexandria via LeMat-Bulk. Energies are from GGA-PBE.

Unit cell a=6.0369 b=6.0369 c=6.0369 alpha=90.00 beta=90.00 gamma=90.00
Fractional coordinates of all 5 atoms:
Sb: 0.0000 0.5000 0.0000
Sb: 0.0000 0.0000 0.5000
Sc: 0.5000 0.5000 0.5000
Ba: 0.0000 0.0000 0.0000
Sb: 0.5000 0.0000 0.0000

Computed properties:
As for the space group: No. 221.



Decreasing stability: arrangement one, arrangement two